# Ga3WF | Alexandria | GGA+U | relaxed
data_Ga3WF
_chemical_formula_sum 'Ga3 W1 F1'
_space_group_name_H-M_alt 'P m -3 m'
_space_group_IT_number 221
_space_group_name_Hall '-P 4 2 3'
_cell_length_a 4.486
_cell_length_b 4.486
_cell_length_c 4.486
_cell_angle_alpha 90.00
_cell_angle_beta 90.00
_cell_angle_gamma 90.00
loop_
_atom_site_label
_atom_site_type_symbol
_atom_site_fract_x
_atom_site_fract_y
_atom_site_fract_z
Ga1 Ga 0.000 0.000 0.500
W1 W 0.500 0.500 0.500
F1 F 0.000 0.000 0.000
# ΔE to the lowest computed polymorph	0.000	eV per atom
# calculated total energy	-3.507	eV/atom